Os7C, relaxed, DFT GGA-PBE; space group = Fm-3m, No. 225; E = -9.937 eV per atom; DOS at the Fermi energy = 1.592 states/eV per atom; M_tot = 0.00 Bohr magnetons per cell; volume = 14.03 Å³ per atom
1.0
-1.7096 -3.7442 -3.5169
-4.5063 -2.8199 1.0257
-4.4678 0.8772 -2.9291
Os C
7 1
Direct
0.5000 0.5000 0.0000 Os
0.5000 0.0000 0.5000 Os
0.5000 0.0000 0.0000 Os
0.0000 0.0000 0.5000 Os
0.0000 0.5000 0.0000 Os
0.0000 0.5000 0.5000 Os
0.5000 0.5000 0.5000 Os
0.0000 0.0000 0.0000 C